No. 1
Density functional theory data (PBE) for a geometry-optimized LuNpHg2 structure.

abc: 3.3445 3.3445 8.7048
angles: 90.00 90.00 90.00
Last column: nearest neighbours and their distance in Å.
Positions (direct):
Lu1 0.0000 0.0000 0.0000  8 Hg 3.13, 4 Lu 3.34
Np1 0.0000 0.0000 0.5000  8 Hg 3.31, 4 Np 3.34
Hg1 0.5000 0.5000 0.2347  4 Lu 3.13, 4 Np 3.31, 4 Hg 3.34
Hg2 0.5000 0.5000 0.7653  4 Lu 3.13, 4 Np 3.31, 4 Hg 3.34

**ΔE_f**: -5.61 kJ/mol of atoms
**V**: 24.342 Å³ per atom
**DOS(E_F)**: 2.0633 states/eV/atom
**Space group**: P4/mmm (123)
**E**: -4.57 eV/atom
**Offset from the most stable computed form**: 0.000 eV/atom



No. 2
Density functional theory data (PBE) for a geometry-optimized PmErAu2 structure.

abc: 4.7227 3.7653 11.1115
angles: 90.00 90.00 90.00
Last column: nearest neighbours and their distance in Å.
Positions (direct):
Pm1 0.0000 0.0000 0.0000  7 Au 3.02-3.16
Pm2 0.0000 0.5000 0.5000  7 Au 3.02-3.16
Er1 0.5000 0.0000 0.7228  7 Au 3.06-3.12
Er2 0.5000 0.5000 0.2228  7 Au 3.06-3.12
Au1 0.0000 0.0000 0.2715  3 Pm 3.02-3.16, 2 Au 3.06, 4 Er 3.07
Au2 0.0000 0.5000 0.7715  3 Pm 3.02-3.16, 2 Au 3.06, 4 Er 3.07
Au3 0.5000 0.0000 0.4471  3 Er 3.06-3.12, 2 Au 3.06, 4 Pm 3.08
Au4 0.5000 0.5000 0.9471  3 Er 3.06-3.12, 2 Au 3.06, 4 Pm 3.08

**ΔE_f**: -81.89 kJ/mol of atoms
**V**: 24.699 Å³ per atom
**DOS(E_F)**: 0.5997 states/eV/atom
**Space group**: Amm2 (38)
**E**: -4.82 eV/atom
**Offset from the most stable computed form**: 0.000 eV/atom



No. 3
Density functional theory data (PBE) for a geometry-optimized SrMn4Al structure.

abc: 5.2295 5.2295 5.2295
angles: 60.00 60.00 60.00
Last column: nearest neighbours and their distance in Å.
Positions (direct):
Sr1 0.0000 0.0000 0.0000  12 Mn 3.07, 4 Al 3.20
Mn1 0.3778 0.3778 0.3778  6 Mn 2.56-2.67
Mn2 0.3778 0.3778 0.8665  6 Mn 2.56-2.67
Mn3 0.3778 0.8665 0.3778  6 Mn 2.56-2.67
Mn4 0.8665 0.3778 0.3778  6 Mn 2.56-2.67
Al1 0.7500 0.7500 0.7500  12 Mn 3.06, 4 Sr 3.20

**ΔE_f**: 47.55 kJ/mol of atoms
**V**: 16.854 Å³ per atom
**DOS(E_F)**: 1.1324 states/eV/atom
**Space group**: F-43m (216)
**E**: -6.52 eV/atom



No. 4
Density functional theory data (PBE) for a geometry-optimized NaTiTl2Se4 structure.

abc: 6.8687 6.8687 11.6948
angles: 90.00 90.00 90.00
Last column: nearest neighbours and their distance in Å.
Positions (direct):
Na1 0.0000 0.0000 0.0000  4 Se 2.93
Na2 0.5000 0.5000 0.5000  4 Se 2.93
Ti1 0.0000 0.5000 0.7500  4 Se 2.41
Ti2 0.5000 0.0000 0.2500  4 Se 2.41
Tl1 0.0000 0.0000 0.5000  4 Se 2.92
Tl2 0.0000 0.5000 0.2500  4 Se 3.17
Tl3 0.5000 0.0000 0.7500  4 Se 3.17
Tl4 0.5000 0.5000 0.0000  4 Se 2.92
Se1 0.2049 0.7056 0.6342  1 Ti 2.41
Se2 0.2056 0.2951 0.8658  1 Ti 2.41
Se3 0.2944 0.2049 0.3658  1 Ti 2.41
Se4 0.2951 0.7944 0.1342  1 Ti 2.41
Se5 0.7049 0.2056 0.1342  1 Ti 2.41
Se6 0.7056 0.7951 0.3658  1 Ti 2.41
Se7 0.7944 0.7049 0.8658  1 Ti 2.41
Se8 0.7951 0.2944 0.6342  1 Ti 2.41

**V**: 34.484 Å³ per atom
**DOS(E_F)**: 0.5303 states/eV/atom
**Space group**: I-4 (82)
**E**: -4.19 eV/atom
**Uncorrected formation energy**: -5.67 eV/f.u.



No. 5
Density functional theory data (PBE) for a geometry-optimized PmDy5Tm6 structure.

abc: 9.3254 9.3254 9.3254
angles: 149.02 115.62 73.16
Last column: nearest neighbours and their distance in Å.
Positions (direct):
Pm1 0.0000 0.0000 0.0000  8 Tm 3.53, 4 Dy 3.54
Dy1 0.1676 0.6676 0.5000  8 Tm 3.50-3.54, 2 Dy 3.51, 2 Pm 3.54
Dy2 0.3332 0.3332 0.0000  8 Tm 3.51-3.52, 4 Dy 3.51-3.53
Dy3 0.5000 0.0000 0.5000  8 Tm 3.51-3.52, 4 Dy 3.53
Dy4 0.6668 0.6668 0.0000  8 Tm 3.51-3.52, 4 Dy 3.51-3.53
Dy5 0.8324 0.3324 0.5000  8 Tm 3.50-3.54, 2 Dy 3.51, 2 Pm 3.54
Tm1 0.0838 0.8331 0.2507  7 Dy 3.50-3.52, 4 Tm 3.52-3.53, 1 Pm 3.53
Tm2 0.2515 0.5000 0.7515  6 Dy 3.51-3.54, 2 Pm 3.53, 4 Tm 3.53
Tm3 0.4176 0.1669 0.2507  7 Dy 3.50-3.52, 4 Tm 3.52-3.53, 1 Pm 3.53
Tm4 0.5824 0.8331 0.7493  7 Dy 3.50-3.52, 4 Tm 3.52-3.53, 1 Pm 3.53
Tm5 0.7485 0.5000 0.2485  6 Dy 3.51-3.54, 2 Pm 3.53, 4 Tm 3.53
Tm6 0.9162 0.1669 0.7493  7 Dy 3.50-3.52, 4 Tm 3.52-3.53, 1 Pm 3.53

**ΔE_f**: 2.20 kJ/mol of atoms
**V**: 30.885 Å³ per atom
**DOS(E_F)**: 1.4345 states/eV/atom
**Space group**: Immm (71)
**E**: -4.53 eV/atom



No. 6
Density functional theory data (PBE) for a geometry-optimized PrY2TaN4 structure.

abc: 6.2800 6.2800 12.1514
angles: 90.00 90.00 148.30
Last column: nearest neighbours and their distance in Å.
Positions (direct):
Pr1 0.0970 0.9030 0.7500  6 N 2.59-2.90
Pr2 0.9030 0.0970 0.2500  6 N 2.59-2.90
Y1 0.3708 0.6292 0.5342  5 N 2.32-2.56
Y2 0.3708 0.6292 0.9658  5 N 2.32-2.56
Y3 0.6292 0.3708 0.0342  5 N 2.32-2.56
Y4 0.6292 0.3708 0.4658  5 N 2.32-2.56
Ta1 0.1634 0.8366 0.2500  4 N 1.94-2.10
Ta2 0.8366 0.1634 0.7500  4 N 1.94-2.10
N1 0.0000 0.0000 0.0000  4 Y 2.36
N2 0.0000 0.0000 0.5000  4 Y 2.36
N3 0.2592 0.7408 0.1214  1 Ta 1.94
N4 0.2592 0.7408 0.3786  1 Ta 1.94
N5 0.4363 0.5637 0.7500  2 Ta 2.10
N6 0.5637 0.4363 0.2500  2 Ta 2.10
N7 0.7408 0.2592 0.6214  1 Ta 1.94
N8 0.7408 0.2592 0.8786  1 Ta 1.94

**V**: 15.739 Å³ per atom
**DOS(E_F)**: 0.2789 states/eV/atom
**Space group**: Cmcm (63)
**E**: -9.14 eV/atom
**Uncorrected formation energy**: -10.23 eV/f.u.



No. 7
Density functional theory data (PBE) for a geometry-optimized PmCu2IO8 structure.

abc: 5.8807 5.8807 5.8807
angles: 107.47 107.47 113.55
Last column: nearest neighbours and their distance in Å.
Positions (direct):
Pm1 0.0000 0.0000 0.0000  8 O 2.35-2.45
Cu1 0.2500 0.7500 0.5000  4 O 1.82
Cu2 0.5000 0.5000 0.0000  4 O 1.91
I1 0.7500 0.2500 0.5000  8 O 2.06-2.13
O1 0.0293 0.3657 0.3363  1 Cu 1.82
O2 0.0293 0.6930 0.6637  1 Cu 1.82
O3 0.0979 0.3061 0.7918  1 Cu 1.91, 1 I 2.06
O4 0.3070 0.9707 0.3363  1 Cu 1.82
O5 0.5143 0.3061 0.2082  1 Cu 1.91, 1 I 2.06
O6 0.6343 0.9707 0.6637  1 Cu 1.82
O7 0.6939 0.4857 0.7918  1 Cu 1.91, 1 I 2.06
O8 0.6939 0.9021 0.2082  1 Cu 1.91, 1 I 2.06

**V**: 12.996 Å³ per atom
**DOS(E_F)**: 0.3414 states/eV/atom
**Space group**: I-4m2 (119)
**E**: -5.24 eV/atom
**Uncorrected formation energy**: -8.70 eV/f.u.



No. 8
Density functional theory data (PBE) for a geometry-optimized OsPt3Au structure.

abc: 4.8775 4.8775 4.8775
angles: 90.00 90.00 90.00
Last column: nearest neighbours and their distance in Å.
Positions (direct):
Os1 0.0000 0.0000 0.0000  12 Pt 3.45
Pt1 0.0000 0.5000 0.5000  2 Au 2.44
Pt2 0.5000 0.0000 0.5000  2 Au 2.44
Pt3 0.5000 0.5000 0.0000  2 Au 2.44
Au1 0.5000 0.5000 0.5000  6 Pt 2.44

**ΔE_f**: 215.70 kJ/mol of atoms
**V**: 23.207 Å³ per atom
**DOS(E_F)**: 1.5215 states/eV/atom
**Space group**: Pm-3m (221)
**E**: -4.29 eV/atom
**Offset from the most stable computed form**: 0.834 eV/atom